No. 1
CuOs GGA-PBE relaxed; symmetry = P6_3/mmc (194); energy relative to the lowest polymorph listed for this composition = 1686 meV/atom; formation enthalpy at 0 K = 1.8878 eV per atom
1.0
4.120 0.000 0.000
-2.060 3.568 0.000
0.000 0.000 4.907
Os Cu
2 2
Direct
0.667 0.333 0.250 Os
0.333 0.667 0.750 Os
0.333 0.667 0.250 Cu
0.667 0.333 0.750 Cu

---

No. 2
Cu3Os GGA-PBE relaxed; symmetry = P-6m2 (187); energy relative to the lowest polymorph listed for this composition = 25 meV/atom; formation enthalpy at 0 K = 0.2117 eV per atom
1.0
2.632 0.000 0.000
-1.316 2.279 0.000
0.000 0.000 8.572
Os Cu
1 3
Direct
0.667 0.333 0.750 Os
0.667 0.333 0.250 Cu
0.000 0.000 0.493 Cu
0.000 0.000 0.007 Cu

---

No. 3
CuOs5 GGA-PBE relaxed; symmetry = Amm2 (38); energy relative to the lowest polymorph listed for this composition = 0 meV/atom; formation enthalpy at 0 K = 0.1764 eV per atom
1.0
-5.037 0.633 5.072
2.946 -2.018 -6.225
1.406 -3.667 1.854
Os Cu
5 1
Direct
0.668 0.332 0.000 Os
0.333 0.667 0.000 Os
0.108 0.892 0.500 Os
0.779 0.221 0.500 Os
0.446 0.554 0.500 Os
0.999 0.001 0.000 Cu

---

Number 1: total DFT energy (no corrections) -23.1 eV per cell. Number 2: total DFT energy (no corrections) -22.7 eV per cell. Number 3: total DFT energy (no corrections) -59.2 eV per cell.